# CoSn3Mo, relaxed, DFT PBE
# Energy relative to the elements, meV/atom: 940.0
# Excess energy over the best structure of this formula in the dataset, eV/f.u.: 0.93
data_CoSn3Mo
_chemical_formula_sum 'Co1 Sn3 Mo1'
_cell_length_a 5.226
_cell_length_b 5.226
_cell_length_c 5.226
_cell_angle_alpha 90.00
_cell_angle_beta 90.00
_cell_angle_gamma 90.00
_space_group_name_H-M_alt 'P m -3 m'
_space_group_IT_number 221
_space_group_name_Hall '-P 4 2 3'
loop_
_atom_site_label
_atom_site_type_symbol
_atom_site_fract_x
_atom_site_fract_y
_atom_site_fract_z
Co1 Co 0.000 0.000 0.000
Sn1 Sn 0.000 0.500 0.500
Mo1 Mo 0.500 0.500 0.500